Entry 1:
Computed, not measured: crystalline RbZrIn2I8 at its relaxed geometry at the PBE-GGA level of DFT.

a = 7.8110 Å, b = 7.2539 Å, c = 10.0028 Å
α = 89.77°, β = 89.93°, γ = 88.20°
Last column: nearest neighbours and their distance in Å.
Positions (direct):
In (0.5001, 0.4992, 0.7462)  4 I 3.13-3.34
I (0.6337, 0.7185, 0.4995)  2 In 3.13
Rb (0.0000, 0.0000, 0.5000)  6 I 3.57-3.62
I (0.1422, 0.7550, 0.2031)  1 Zr 2.89
I (0.6946, 0.7858, 0.9995)  1 Zr 2.89
I (0.3663, 0.2815, 0.5005)  2 In 3.13
I (0.1442, 0.7567, 0.7979)  1 Zr 2.89
I (0.8558, 0.2433, 0.2021)  1 Zr 2.89
I (0.3054, 0.2142, 0.0005)  1 Zr 2.89
In (0.4999, 0.5008, 0.2538)  4 I 3.13-3.34
Zr (0.0000, 0.0000, 0.0000)  6 I 2.89
I (0.8578, 0.2450, 0.7969)  1 Zr 2.89

Fermi-level density of states: 0.42 states/eV per atom
Uncorrected formation energy: -753 meV/atom
Total energy: -3.04 eV/atom
Space-group type: No. 2


Entry 2:
Computed, not measured: crystalline RbZrInI6 at its relaxed geometry at the PBE-GGA level of DFT.

a = 8.3561 Å, b = 8.3561 Å, c = 15.0724 Å
α = 90.00°, β = 90.00°, γ = 120.00°
Last column: nearest neighbours and their distance in Å.
Positions (direct):
Rb (0.0000, 0.0000, 0.0000)  6 I 3.73
I (0.9539, 0.3442, 0.1391)  1 Zr 2.89
In (0.3333, 0.6667, 0.2500)  6 I 3.40
I (0.3442, 0.3902, 0.8609)  1 Zr 2.89
I (0.0461, 0.6558, 0.8609)  1 Zr 2.89
I (0.6098, 0.9539, 0.8609)  1 Zr 2.89
Zr (0.6667, 0.3333, 0.2500)  6 I 2.89
I (0.0461, 0.3902, 0.6391)  1 Zr 2.89
I (0.6558, 0.0461, 0.3609)  1 Zr 2.89
I (0.9539, 0.6098, 0.3609)  1 Zr 2.89
I (0.3902, 0.3442, 0.3609)  1 Zr 2.89
I (0.6558, 0.6098, 0.1391)  1 Zr 2.89
Zr (0.3333, 0.6667, 0.7500)  6 I 2.89
I (0.3902, 0.0461, 0.1391)  1 Zr 2.89
Rb (0.0000, 0.0000, 0.5000)  6 I 3.73
I (0.3442, 0.9539, 0.6391)  1 Zr 2.89
I (0.6098, 0.6558, 0.6391)  1 Zr 2.89
In (0.6667, 0.3333, 0.7500)  6 I 3.40

Uncorrected formation energy: -948 meV/atom
Total energy: -3.34 eV/atom
Space-group type: No. 163


Entry 3:
Computed, not measured: crystalline Rb2ZrInI6 at its relaxed geometry at the PBE-GGA level of DFT.

a = 8.8185 Å, b = 8.8185 Å, c = 8.8189 Å
α = 60.00°, β = 60.00°, γ = 90.00°
Last column: nearest neighbours and their distance in Å.
Positions (direct):
I (0.7347, 0.7347, 0.5306)  1 Zr 2.93
Zr (0.5000, 0.5000, 0.0000)  6 I 2.93
I (0.2653, 0.7347, 0.0000)  1 Zr 2.93
I (0.2653, 0.2653, 0.0000)  1 Zr 2.93
Rb (0.2500, 0.7500, 0.5000)  12 I 4.41
I (0.7347, 0.7347, 0.0000)  1 Zr 2.93
Rb (0.7500, 0.2500, 0.5000)  12 I 4.41
I (0.7347, 0.2653, 0.0000)  1 Zr 2.93
In (0.0000, 0.0000, 0.0000)  6 I 3.31
I (0.2653, 0.2653, 0.4694)  1 Zr 2.93

Distance to the lowest polymorph of the same formula: 22 meV/atom
Fermi-level density of states: 0.83 states/eV per atom
Uncorrected formation energy: -971 meV/atom
Total energy: -3.22 eV/atom
Space-group type: No. 225


Entry 4:
Computed, not measured: crystalline InRe2I at its relaxed geometry at the PBE-GGA level of DFT.

a = 6.5357 Å, b = 6.5357 Å, c = 6.6911 Å
α = 60.77°, β = 60.77°, γ = 90.00°
Last column: nearest neighbours and their distance in Å.
Positions (direct):
Re (0.3750, 0.3562, 0.7500)  2 I 2.53, 2 In 2.69
I (0.0000, 0.0000, 0.0000)  4 Re 2.53
In (0.5000, 0.5000, 0.0000)  4 Re 2.69
Re (0.6438, 0.1250, 0.2500)  2 I 2.53, 2 In 2.69
Re (0.8750, 0.8938, 0.7500)  2 I 2.53, 2 In 2.69
I (0.7500, 0.2500, 0.5000)  4 Re 2.53
In (0.2500, 0.7500, 0.5000)  4 Re 2.69
Re (0.1062, 0.6250, 0.2500)  2 I 2.53, 2 In 2.69

Distance to the lowest polymorph of the same formula: 812 meV/atom
Fermi-level density of states: 1.17 states/eV per atom
Uncorrected formation energy: 2127 meV/atom
Total energy: -5.17 eV/atom
Space-group type: No. 122


Entry 5:
Computed, not measured: crystalline InRe3I at its relaxed geometry at the PBE-GGA level of DFT.

a = 4.8357 Å, b = 4.8357 Å, c = 4.8357 Å
α = 90.00°, β = 90.00°, γ = 90.00°
Last column: nearest neighbours and their distance in Å.
Positions (direct):
Re (0.0000, 0.0000, 0.5000)  2 I 2.42
In (0.5000, 0.5000, 0.5000)  12 Re 3.42
Re (0.5000, 0.0000, 0.0000)  2 I 2.42
I (0.0000, 0.0000, 0.0000)  6 Re 2.42
Re (0.0000, 0.5000, 0.0000)  2 I 2.42

Distance to the lowest polymorph of the same formula: 0 meV/atom
Fermi-level density of states: 1.24 states/eV per atom
Uncorrected formation energy: 2693 meV/atom
Total energy: -5.63 eV/atom
Space-group type: No. 221


Entry 6:
Computed, not measured: crystalline In3ReI at its relaxed geometry at the PBE-GGA level of DFT.

a = 6.1778 Å, b = 6.1778 Å, c = 6.1778 Å
α = 90.00°, β = 90.00°, γ = 90.00°
Last column: nearest neighbours and their distance in Å.
Positions (direct):
In (0.0000, 0.5000, 0.0000)  2 I 3.09
In (0.0000, 0.0000, 0.5000)  2 I 3.09
I (0.0000, 0.0000, 0.0000)  6 In 3.09
In (0.5000, 0.0000, 0.0000)  2 I 3.09
Re (0.5000, 0.5000, 0.5000)  12 In 4.37

Distance to the lowest polymorph of the same formula: 1287 meV/atom
Fermi-level density of states: 0.76 states/eV per atom
Uncorrected formation energy: 1713 meV/atom
Total energy: -2.73 eV/atom
Space-group type: No. 221


Which value of total energy does entry 3 give?
-3.22 eV/atom